# Mg2ScAl2, optimized geometry, DFT PBE
# - Crystal system: tetragonal
# - M_tot: 0.720 Bohr magnetons per cell
# - Polymorph energy (0 for the lowest one): 0.0130 eV per atom
data_Mg2ScAl2
_chemical_formula_sum 'Mg4 Sc2 Al4'
_symmetry_space_group_name_H-M 'P 4/m b m'
_symmetry_Int_Tables_number 127
_symmetry_space_group_name_Hall '-P 4 2ab'
_cell_length_a 8.196
_cell_length_b 8.196
_cell_length_c 2.995
_cell_angle_alpha 90.00
_cell_angle_beta 90.00
_cell_angle_gamma 90.00
loop_
_atom_site_label
_atom_site_fract_x
_atom_site_fract_y
_atom_site_fract_z
Mg1 0.124 0.376 0.000
Sc1 0.000 0.000 0.000
Al1 0.175 0.675 0.500

---

# Mg2ScAl, optimized geometry, DFT PBE
# - Crystal system: monoclinic
# - M_tot: 0.000 Bohr magnetons per cell
data_Mg2ScAl
_chemical_formula_sum 'Mg2 Sc1 Al1'
_symmetry_space_group_name_H-M 'P 1 2/m 1'
_symmetry_Int_Tables_number 10
_cell_length_a 3.128
_cell_length_b 4.964
_cell_length_c 5.503
_cell_angle_alpha 90.00
_cell_angle_beta 96.67
_cell_angle_gamma 90.00
loop_
_symmetry_equiv_pos_as_xyz
'x,y,z'
'-x,-y,-z'
'-x,y,-z'
'x,-y,z'
loop_
_atom_site_label
_atom_site_fract_x
_atom_site_fract_y
_atom_site_fract_z
Mg1 0.176 0.000 0.256
Sc1 0.500 0.500 0.000
Al1 0.000 0.500 0.500

---

# Mg3Sc4Al, optimized geometry, DFT PBE
# - Crystal system: tetragonal
# - M_tot: 0.004 Bohr magnetons per cell
data_Mg3Sc4Al
_chemical_formula_sum 'Mg3 Sc4 Al1'
_symmetry_space_group_name_H-M 'P 4/m m m'
_symmetry_Int_Tables_number 123
_symmetry_space_group_name_Hall '-P 4 2'
_cell_length_a 3.502
_cell_length_b 3.502
_cell_length_c 14.455
_cell_angle_alpha 90.00
_cell_angle_beta 90.00
_cell_angle_gamma 90.00
loop_
_atom_site_label
_atom_site_fract_x
_atom_site_fract_y
_atom_site_fract_z
Mg1 0.000 0.000 0.000
Mg2 0.000 0.000 0.258
Sc1 0.500 0.500 0.131
Sc2 0.500 0.500 0.386
Al1 0.000 0.000 0.500

---

# Mg2Sc4Al, optimized geometry, DFT PBE
# - Crystal system: orthorhombic
# - M_tot: 1.937 Bohr magnetons per cell
data_Mg2Sc4Al
_chemical_formula_sum 'Mg4 Sc8 Al2'
_symmetry_space_group_name_H-M 'C m m m'
_symmetry_Int_Tables_number 65
_symmetry_space_group_name_Hall '-C 2 2'
_cell_length_a 7.537
_cell_length_b 9.540
_cell_length_c 4.577
_cell_angle_alpha 90.00
_cell_angle_beta 90.00
_cell_angle_gamma 90.00
loop_
_atom_site_label
_atom_site_fract_x
_atom_site_fract_y
_atom_site_fract_z
Mg1 0.000 0.220 0.000
Sc1 0.214 0.500 0.000
Sc2 0.250 0.250 0.500
Al1 0.000 0.000 0.500

---

Looking at formation energy for the records above, in order, we have -0.2 -0.3 -1.2 0.2 eV per formula unit.